one | VASP calculation (GGA-PBE) on crystalline SrTiCu2Sn at its relaxed geometry.

Computed properties:
Fermi-level density of states, states/eV/f.u.: 4.855
V, A^3/atom: 25.2
Space-group type: P4/mmm
M_tot, μB per formula unit: 0.00

Structure (POSCAR):
```
SrTiCu2Sn
1.0
4.911 0.000 0.000
0.000 4.911 0.000
0.000 0.000 5.217
Sr Ti Cu Sn
1 1 2 1
Direct
0.000 0.000 0.000
0.500 0.500 0.500
0.000 0.500 0.500
0.500 0.000 0.500
0.500 0.500 0.000
```

two | VASP calculation (GGA-PBE) on crystalline SrTiCu2Sn at its relaxed geometry.

Computed properties:
Fermi-level density of states, states/eV/f.u.: 3.288
V, A^3/atom: 28.5
Space-group type: P4/mmm
M_tot, μB per formula unit: 0.00

Structure (POSCAR):
```
SrTiCu2Sn
1.0
4.935 0.000 0.000
0.000 4.935 0.000
0.000 0.000 5.860
Sr Ti Cu Sn
1 1 2 1
Direct
0.000 0.000 0.000
0.500 0.500 0.500
0.000 0.500 0.000
0.500 0.000 0.000
0.000 0.000 0.500
```

What is the stability order? It is one, two, from most stable to least stable.

one | VASP calculation (GGA-PBE) on crystalline Th2CuSn2 at its relaxed geometry.

Computed properties:
Fermi-level density of states, states/eV/f.u.: 3.336
V, A^3/atom: 26.5
Space-group type: C2/m
M_tot, μB per formula unit: 0.00

Structure (POSCAR):
```
Th2CuSn2
1.0
5.776 -2.218 0.000
5.776 2.218 0.000
-5.425 0.000 10.347
Th Cu Sn
4 2 4
Direct
0.092 0.092 0.398
0.308 0.308 0.844
0.692 0.692 0.156
0.908 0.908 0.602
0.449 0.449 0.203
0.551 0.551 0.797
0.065 0.065 0.920
0.359 0.359 0.375
0.641 0.641 0.625
0.935 0.935 0.080
```

two | VASP calculation (GGA-PBE) on crystalline Th2CuSn2 at its relaxed geometry.

Computed properties:
Fermi-level density of states, states/eV/f.u.: 3.761
V, A^3/atom: 27.1
Space-group type: Cmc2_1
M_tot, μB per formula unit: 0.00

Structure (POSCAR):
```
Th2CuSn2
1.0
2.242 -9.030 0.000
2.242 9.030 0.000
0.000 0.000 6.697
Th Cu Sn
4 2 4
Direct
0.011 0.989 0.500
0.217 0.783 0.344
0.783 0.217 0.844
0.989 0.011 0.000
0.366 0.634 0.102
0.634 0.366 0.602
0.155 0.845 0.815
0.402 0.598 0.706
0.598 0.402 0.206
0.845 0.155 0.315
```

What is the stability order? It is one, two, from most stable to least stable.